(1)
First-principles (PBE-GGA) data for a relaxed PrTm3Pu2Se6 crystal, as listed in Alexandria.

Lattice parameters (Å, degrees): 7.063 7.063 7.178 99.44 99.44 120.07
Site moments in Bohr magnetons follow the coordinates.
Atoms (fractional coordinates):
Pr: 0.000 0.000 0.000  0.06
Tm: 0.164 0.836 0.500  0.01
Tm: 0.836 0.164 0.500  0.01
Tm: 0.500 0.500 0.500  0.01
Pu: 0.333 0.667 0.000  5.50
Pu: 0.667 0.333 0.000  5.50
Se: 0.911 0.572 0.735  -0.02
Se: 0.748 0.748 0.263  -0.02
Se: 0.089 0.428 0.265  -0.02
Se: 0.572 0.911 0.735  -0.02
Se: 0.252 0.252 0.737  -0.02
Se: 0.428 0.089 0.265  -0.02

Values from the calculation:
Symmetry: C2/m (12)
Final energy in eV/atom: -7.324
Energy relative to the elements, uncorrected in eV per atom: -1.6773

=====

(2)
First-principles (PBE-GGA) data for a relaxed Pr2TmPuSe4 crystal, as listed in Alexandria.

Lattice parameters (Å, degrees): 4.133 7.201 7.299 108.90 90.00 90.00
Site moments in Bohr magnetons follow the coordinates.
Atoms (fractional coordinates):
Pr: 0.500 0.000 0.500  -0.03
Pr: 0.000 0.500 0.500  0.03
Tm: 0.000 0.000 0.000  0.05
Pu: 0.500 0.500 0.000  5.42
Se: 0.500 0.239 0.232  -0.01
Se: 0.500 0.761 0.768  -0.01
Se: 0.000 0.250 0.765  -0.03
Se: 0.000 0.750 0.235  -0.03

Values from the calculation:
Symmetry: P2/m (10)
Final energy in eV/atom: -7.025
Energy relative to the elements, uncorrected in eV per atom: -1.7376

=====

(3)
First-principles (PBE-GGA) data for a relaxed PrTmPu2Se5 crystal, as listed in Alexandria.

Lattice parameters (Å, degrees): 5.076 5.076 11.003 90.00 90.00 90.00
Site moments in Bohr magnetons follow the coordinates.
Atoms (fractional coordinates):
Pr: 0.000 0.000 0.000  0.04
Tm: 0.000 0.000 0.500  0.06
Pu: 0.500 0.500 0.313  5.70
Pu: 0.500 0.500 0.687  5.70
Se: 0.000 0.500 0.500  -0.04
Se: 0.500 0.000 0.500  -0.04
Se: 0.000 0.000 0.749  -0.03
Se: 0.000 0.000 0.251  -0.03
Se: 0.500 0.500 0.000  -0.03

Values from the calculation:
Symmetry: P4/mmm (123)
Final energy in eV/atom: -7.358
Energy relative to the elements, uncorrected in eV per atom: -1.2089

=====

(4)
First-principles (PBE-GGA) data for a relaxed Pr3Tm3PuSe8 crystal, as listed in Alexandria.

Lattice parameters (Å, degrees): 8.214 8.213 8.319 119.57 90.00 120.01
Site moments in Bohr magnetons follow the coordinates.
Atoms (fractional coordinates):
Pr: 0.000 0.000 0.000  0.05
Pr: 0.000 0.500 0.000  0.05
Pr: 0.500 0.500 0.000  0.05
Tm: 0.500 0.000 0.500  0.05
Tm: 0.500 0.500 0.500  0.05
Tm: 0.000 0.500 0.500  0.05
Pu: 0.000 0.000 0.500  5.41
Se: 0.257 0.514 0.271  0.00
Se: 0.743 0.486 0.729  0.00
Se: 0.747 0.493 0.261  -0.02
Se: 0.253 0.507 0.739  -0.02
Se: 0.747 0.014 0.261  -0.02
Se: 0.253 0.986 0.739  -0.02
Se: 0.268 0.014 0.261  -0.02
Se: 0.732 0.986 0.739  -0.02

Values from the calculation:
Symmetry: R-3m (166)
Final energy in eV/atom: -6.444
Energy relative to the elements, uncorrected in eV per atom: -1.7804

=====

(5)
First-principles (PBE-GGA) data for a relaxed PrPu2USe4 crystal, as listed in Alexandria.

Lattice parameters (Å, degrees): 4.112 7.174 7.274 108.86 90.00 90.00
Site moments in Bohr magnetons follow the coordinates.
Atoms (fractional coordinates):
Pr: 0.000 0.000 0.000  0.02
Pu: 0.500 0.000 0.500  5.46
Pu: 0.000 0.500 0.500  5.41
U: 0.500 0.500 0.000  2.69
Se: 0.500 0.260 0.257  -0.06
Se: 0.500 0.740 0.743  -0.06
Se: 0.000 0.256 0.747  -0.07
Se: 0.000 0.744 0.253  -0.07

Values from the calculation:
Symmetry: P2/m (10)
Final energy in eV/atom: -8.800
Energy relative to the elements, uncorrected in eV per atom: -1.4664

=====

(6)
First-principles (PBE-GGA) data for a relaxed PrY3Pu2Se6 crystal, as listed in Alexandria.

Lattice parameters (Å, degrees): 7.144 7.144 7.203 99.51 99.51 120.06
Site moments in Bohr magnetons follow the coordinates.
Atoms (fractional coordinates):
Pr: 0.000 0.000 0.000  0.06
Y: 0.164 0.836 0.500  0.02
Y: 0.836 0.164 0.500  0.02
Y: 0.500 0.500 0.500  0.01
Pu: 0.333 0.667 0.000  5.48
Pu: 0.667 0.333 0.000  5.48
Se: 0.914 0.574 0.742  -0.03
Se: 0.746 0.746 0.257  -0.03
Se: 0.086 0.426 0.258  -0.03
Se: 0.574 0.914 0.742  -0.03
Se: 0.254 0.254 0.743  -0.03
Se: 0.426 0.086 0.258  -0.03

Values from the calculation:
Symmetry: C2/m (12)
Final energy in eV/atom: -7.870
Energy relative to the elements, uncorrected in eV per atom: -1.7251

=====

(7)
First-principles (PBE-GGA) data for a relaxed Pr2YPu3Se6 crystal, as listed in Alexandria.

Lattice parameters (Å, degrees): 4.163 8.378 9.347 103.26 102.87 90.00
Site moments in Bohr magnetons follow the coordinates.
Atoms (fractional coordinates):
Pr: 0.833 0.665 0.666  0.02
Pr: 0.167 0.335 0.334  0.02
Y: 0.500 0.000 0.000  0.06
Pu: 0.500 0.500 0.000  5.48
Pu: 0.831 0.166 0.663  5.44
Pu: 0.169 0.834 0.337  5.44
Se: 0.335 0.924 0.671  -0.05
Se: 0.664 0.590 0.328  -0.05
Se: 0.665 0.076 0.329  -0.05
Se: 0.997 0.245 0.994  -0.04
Se: 0.003 0.755 0.006  -0.04
Se: 0.336 0.410 0.672  -0.05

Values from the calculation:
Symmetry: C2/m (12)
Final energy in eV/atom: -8.353
Energy relative to the elements, uncorrected in eV per atom: -1.6921

=====

(8)
First-principles (PBE-GGA) data for a relaxed PrY2PuSe4 crystal, as listed in Alexandria.

Lattice parameters (Å, degrees): 4.121 7.184 7.211 109.09 90.00 90.00
Site moments in Bohr magnetons follow the coordinates.
Atoms (fractional coordinates):
Pr: 0.000 0.000 0.000  0.04
Y: 0.500 0.000 0.500  -0.02
Y: 0.000 0.500 0.500  0.04
Pu: 0.500 0.500 0.000  5.50
Se: 0.500 0.258 0.262  -0.01
Se: 0.500 0.742 0.738  -0.01
Se: 0.000 0.252 0.742  -0.03
Se: 0.000 0.748 0.258  -0.03

Values from the calculation:
Symmetry: P2/m (10)
Final energy in eV/atom: -7.494
Energy relative to the elements, uncorrected in eV per atom: -1.7468

=====

(9)
First-principles (PBE-GGA) data for a relaxed PrYPu2Se4 crystal, as listed in Alexandria.

Lattice parameters (Å, degrees): 4.154 7.277 7.158 109.48 90.00 90.00
Site moments in Bohr magnetons follow the coordinates.
Atoms (fractional coordinates):
Pr: 0.000 0.000 0.000  0.03
Y: 0.500 0.500 0.000  -0.03
Pu: 0.500 0.000 0.500  5.45
Pu: 0.000 0.500 0.500  -5.37
Se: 0.500 0.259 0.255  0.02
Se: 0.500 0.741 0.745  0.02
Se: 0.000 0.256 0.750  -0.02
Se: 0.000 0.744 0.250  -0.02

Values from the calculation:
Symmetry: P2/m (10)
Final energy in eV/atom: -8.408
Energy relative to the elements, uncorrected in eV per atom: -1.6772

=====

(10)
First-principles (PBE-GGA) data for a relaxed Pr3Y2PuSe6 crystal, as listed in Alexandria.

Lattice parameters (Å, degrees): 7.211 7.211 7.317 99.44 99.44 120.02
Site moments in Bohr magnetons follow the coordinates.
Atoms (fractional coordinates):
Pr: 0.167 0.833 0.500  0.00
Pr: 0.833 0.167 0.500  0.00
Pr: 0.500 0.500 0.500  0.00
Y: 0.333 0.667 0.000  0.04
Y: 0.667 0.333 0.000  0.04
Pu: 0.000 0.000 0.000  5.43
Se: 0.921 0.586 0.764  -0.01
Se: 0.742 0.742 0.235  -0.02
Se: 0.079 0.414 0.236  -0.01
Se: 0.586 0.921 0.764  -0.01
Se: 0.258 0.258 0.765  -0.02
Se: 0.414 0.079 0.236  -0.01

Values from the calculation:
Symmetry: C2/m (12)
Final energy in eV/atom: -6.990
Energy relative to the elements, uncorrected in eV per atom: -1.7809

=====

(11)
First-principles (PBE-GGA) data for a relaxed Pr3YPu2Se6 crystal, as listed in Alexandria.

Lattice parameters (Å, degrees): 7.238 7.238 7.315 99.49 99.49 120.02
Site moments in Bohr magnetons follow the coordinates.
Atoms (fractional coordinates):
Pr: 0.168 0.832 0.500  0.01
Pr: 0.832 0.168 0.500  0.01
Pr: 0.500 0.500 0.500  0.01
Y: 0.000 0.000 0.000  0.06
Pu: 0.334 0.666 0.000  5.43
Pu: 0.666 0.334 0.000  5.43
Se: 0.921 0.589 0.763  -0.03
Se: 0.748 0.748 0.239  -0.03
Se: 0.079 0.411 0.237  -0.03
Se: 0.589 0.921 0.763  -0.03
Se: 0.252 0.252 0.761  -0.03
Se: 0.411 0.079 0.237  -0.03

Values from the calculation:
Symmetry: C2/m (12)
Final energy in eV/atom: -7.609
Energy relative to the elements, uncorrected in eV per atom: -1.7444

=====

(12)
First-principles (PBE-GGA) data for a relaxed PrPuSi2 crystal, as listed in Alexandria.

Lattice parameters (Å, degrees): 3.881 5.879 8.206 90.00 90.00 90.00
Site moments in Bohr magnetons follow the coordinates.
Atoms (fractional coordinates):
Pr: 0.500 0.360 0.321  -0.18
Pr: 0.500 0.640 0.821  -0.18
Pu: 0.000 0.140 0.680  -5.42
Pu: 0.000 0.860 0.180  -5.42
Si: 0.000 0.636 0.532  0.01
Si: 0.000 0.364 0.032  0.01
Si: 0.500 0.876 0.467  0.03
Si: 0.500 0.124 0.967  0.03

Values from the calculation:
E above lowest polymorph in meV per atom: 5.8
Symmetry: Pmc2_1 (26)
Final energy in eV/atom: -8.035
Energy relative to the elements, uncorrected in eV per atom: -0.5459

=====

(13)
First-principles (PBE-GGA) data for a relaxed Pr3PuSi7 crystal, as listed in Alexandria.

Lattice parameters (Å, degrees): 4.222 9.677 11.863 90.00 90.00 102.60
Site moments in Bohr magnetons follow the coordinates.
Atoms (fractional coordinates):
Pr: 0.107 0.214 0.453  0.03
Pr: 0.893 0.786 0.547  0.03
Pr: 0.247 0.493 0.750  0.02
Pr: 0.753 0.507 0.250  0.02
Pr: 0.107 0.214 0.047  0.03
Pr: 0.893 0.786 0.953  0.03
Pu: 0.956 0.913 0.250  5.14
Pu: 0.044 0.087 0.750  5.14
Si: 0.419 0.839 0.750  0.01
Si: 0.581 0.161 0.250  0.01
Si: 0.492 0.984 0.403  0.01
Si: 0.508 0.016 0.597  0.01
Si: 0.508 0.016 0.903  0.01
Si: 0.492 0.984 0.097  0.01
Si: 0.369 0.738 0.349  0.00
Si: 0.631 0.262 0.651  0.00
Si: 0.268 0.537 0.463  0.00
Si: 0.732 0.463 0.537  0.00
Si: 0.732 0.463 0.963  0.00
Si: 0.268 0.537 0.037  0.00
Si: 0.369 0.738 0.151  0.00
Si: 0.631 0.262 0.849  0.00

Values from the calculation:
Symmetry: Cmcm (63)
Final energy in eV/atom: -6.610
Energy relative to the elements, uncorrected in eV per atom: -0.5524

=====

(14)
First-principles (PBE-GGA) data for a relaxed PrPuSi2 crystal, as listed in Alexandria.

Lattice parameters (Å, degrees): 4.369 3.878 5.934 90.00 111.59 90.00
Site moments in Bohr magnetons follow the coordinates.
Atoms (fractional coordinates):
Pr: 0.729 0.000 0.998  -0.18
Pu: 0.440 0.500 0.418  -5.41
Si: 0.149 0.500 0.837  0.01
Si: 0.013 0.000 0.565  0.03

Values from the calculation:
E above lowest polymorph in meV per atom: 0.0
Symmetry: Amm2 (38)
Final energy in eV/atom: -8.041
Energy relative to the elements, uncorrected in eV per atom: -0.5517

=====

(15)
First-principles (PBE-GGA) data for a relaxed Pr3PuSi4 crystal, as listed in Alexandria.

Lattice parameters (Å, degrees): 4.227 6.389 8.832 111.20 103.85 90.00
Site moments in Bohr magnetons follow the coordinates.
Atoms (fractional coordinates):
Pr: 0.000 0.500 0.000  0.04
Pr: 0.191 0.192 0.383  0.03
Pr: 0.809 0.808 0.617  0.03
Pu: 0.500 0.000 0.000  5.38
Si: 0.371 0.555 0.742  -0.01
Si: 0.629 0.445 0.258  -0.01
Si: 0.629 0.812 0.258  -0.01
Si: 0.371 0.188 0.742  -0.01

Values from the calculation:
Symmetry: Immm (71)
Final energy in eV/atom: -6.722
Energy relative to the elements, uncorrected in eV per atom: -0.4263

=====

(16)
First-principles (PBE-GGA) data for a relaxed PrPu2Si6 crystal, as listed in Alexandria.

Lattice parameters (Å, degrees): 4.013 7.066 7.066 120.00 90.00 90.00
Site moments in Bohr magnetons follow the coordinates.
Atoms (fractional coordinates):
Pr: 0.000 0.000 0.000  -0.02
Pu: 0.000 0.333 0.667  5.12
Pu: 0.000 0.667 0.333  5.12
Si: 0.500 0.336 0.336  -0.02
Si: 0.500 0.664 0.664  -0.02
Si: 0.500 0.000 0.664  -0.02
Si: 0.500 0.664 0.000  -0.02
Si: 0.500 0.336 0.000  -0.02
Si: 0.500 0.000 0.336  -0.02

Values from the calculation:
Symmetry: P6/mmm (191)
Final energy in eV/atom: -7.823
Energy relative to the elements, uncorrected in eV per atom: -0.4915

=====

(17)
First-principles (PBE-GGA) data for a relaxed PrPuSi4 crystal, as listed in Alexandria.

Lattice parameters (Å, degrees): 5.384 5.384 5.384 60.00 60.00 60.00
Site moments in Bohr magnetons follow the coordinates.
Atoms (fractional coordinates):
Pr: 0.250 0.250 0.250  0.29
Si: 0.627 0.627 0.118  0.00
Si: 0.627 0.118 0.627  0.00
Si: 0.627 0.627 0.627  0.00
Si: 0.118 0.627 0.627  0.00
Pu: 0.000 0.000 0.000  5.55

Values from the calculation:
E above lowest polymorph in meV per atom: 200.3
Symmetry: F-43m (216)
Final energy in eV/atom: -7.116
Energy relative to the elements, uncorrected in eV per atom: -0.3159

=====

(18)
First-principles (PBE-GGA) data for a relaxed Pr2PuSi6 crystal, as listed in Alexandria.

Lattice parameters (Å, degrees): 4.125 7.113 7.113 120.00 90.00 90.00
Site moments in Bohr magnetons follow the coordinates.
Atoms (fractional coordinates):
Pr: 0.000 0.333 0.667  -0.03
Pr: 0.000 0.667 0.333  -0.03
Pu: 0.000 0.000 0.000  5.13
Si: 0.500 0.330 0.330  -0.02
Si: 0.500 0.670 0.670  -0.02
Si: 0.500 0.000 0.670  -0.02
Si: 0.500 0.670 0.000  -0.02
Si: 0.500 0.330 0.000  -0.02
Si: 0.500 0.000 0.330  -0.02

Values from the calculation:
Symmetry: P6/mmm (191)
Final energy in eV/atom: -6.811
Energy relative to the elements, uncorrected in eV per atom: -0.5413

=====

(19)
First-principles (PBE-GGA) data for a relaxed PrPuSi4 crystal, as listed in Alexandria.

Lattice parameters (Å, degrees): 4.092 7.150 16.194 90.00 90.00 90.00
Site moments in Bohr magnetons follow the coordinates.
Atoms (fractional coordinates):
Pr: 0.000 0.749 0.313  -0.02
Pr: 0.000 0.251 0.687  -0.02
Pr: 0.000 0.249 0.187  -0.02
Pr: 0.000 0.751 0.813  -0.02
Pu: 0.000 0.750 0.064  5.16
Pu: 0.000 0.250 0.936  5.16
Pu: 0.000 0.250 0.436  5.16
Pu: 0.000 0.750 0.564  5.16
Si: 0.500 0.915 0.185  -0.01
Si: 0.500 0.085 0.815  -0.01
Si: 0.500 0.415 0.315  -0.01
Si: 0.500 0.585 0.685  -0.01
Si: 0.500 0.085 0.061  -0.02
Si: 0.500 0.915 0.939  -0.02
Si: 0.500 0.585 0.439  -0.02
Si: 0.500 0.415 0.561  -0.02
Si: 0.500 0.915 0.439  -0.02
Si: 0.500 0.085 0.561  -0.02
Si: 0.500 0.415 0.061  -0.02
Si: 0.500 0.585 0.939  -0.02
Si: 0.500 0.084 0.315  -0.01
Si: 0.500 0.916 0.685  -0.01
Si: 0.500 0.584 0.185  -0.01
Si: 0.500 0.416 0.815  -0.01

Values from the calculation:
E above lowest polymorph in meV per atom: 0.0
Symmetry: Pbam (55)
Final energy in eV/atom: -7.317
Energy relative to the elements, uncorrected in eV per atom: -0.5162

=====

(20)
First-principles (PBE-GGA) data for a relaxed PrPuSi2 crystal, as listed in Alexandria.

Lattice parameters (Å, degrees): 3.292 3.292 8.201 90.00 90.00 90.00
Site moments in Bohr magnetons follow the coordinates.
Atoms (fractional coordinates):
Pr: 0.500 0.500 0.500  0.00
Si: 0.000 0.000 0.761  -0.04
Si: 0.000 0.000 0.239  -0.04
Pu: 0.500 0.500 0.000  5.23

Values from the calculation:
E above lowest polymorph in meV per atom: 199.5
Symmetry: P4/mmm (123)
Final energy in eV/atom: -7.842
Energy relative to the elements, uncorrected in eV per atom: -0.3523